(1)
DFT (PBE) results for a relaxed LaSiNF2 crystal.

Cell: 4.577 4.577 4.822 Å, 90.00 90.00 90.00°
Site moments in Bohr magnetons follow the coordinates.
Fractional coordinates of all 5 atoms:
N (0.000, 0.000, 0.500)  0.36
Si (0.500, 0.500, 0.500)  0.12
F (0.000, 0.500, 0.000)  0.01
F (0.500, 0.000, 0.000)  0.01
La (0.000, 0.000, 0.000)  0.08

## Properties
Relative energy among the computed polymorphs = 407 meV/atom
Total magnetic moment = 0.195 μB per atom
Formation energy without anion corrections = -1.15 eV per atom


(2)
DFT (PBE) results for a relaxed Ho2TmBi crystal.

Cell: 3.622 3.622 10.897 Å, 80.43 80.43 60.00°
Fractional coordinates of all 4 atoms:
Ho (0.081, 0.081, 0.756)
Ho (0.252, 0.252, 0.243)
Tm (0.500, 0.500, 0.501)
Bi (0.667, 0.667, 0.000)

## Properties
Relative energy among the computed polymorphs = 188 meV/atom
Total magnetic moment = 0.013 μB per atom
Calculated formation energy = -0.193 eV/atom


(3)
DFT (PBE) results for a relaxed Sm5Mg4Zr crystal.

Cell: 3.663 3.663 21.249 Å, 90.00 90.00 90.00°
Fractional coordinates of all 10 atoms:
Sm (0.500, 0.500, 0.103)
Sm (0.500, 0.500, 0.308)
Sm (0.500, 0.500, 0.500)
Sm (0.500, 0.500, 0.692)
Sm (0.500, 0.500, 0.897)
Mg (0.000, 0.000, 0.207)
Mg (0.000, 0.000, 0.404)
Mg (0.000, 0.000, 0.596)
Mg (0.000, 0.000, 0.793)
Zr (0.000, 0.000, 0.000)

## Properties
Total magnetic moment = 0.003 μB per atom
Calculated formation energy = -0.026 eV/atom


(4)
DFT (PBE) results for a relaxed LaEuSnGe crystal.

Cell: 5.442 5.442 5.442 Å, 60.00 60.00 60.00°
Site moments in Bohr magnetons follow the coordinates.
Fractional coordinates of all 4 atoms:
Eu (0.500, 0.500, 0.500)  6.82
Ge (0.750, 0.750, 0.750)  0.00
Sn (0.250, 0.250, 0.250)  0.00
La (0.000, 0.000, 0.000)  0.03

## Properties
Total magnetic moment = 1.778 μB per atom
Calculated formation energy = -0.594 eV/atom


(5)
DFT (PBE) results for a relaxed Pm2TmAlC crystal.

Cell: 4.803 5.061 5.061 Å, 90.00 90.00 90.00°
Fractional coordinates of all 5 atoms:
Pm (0.000, 0.000, 0.500)
Pm (0.000, 0.500, 0.000)
Tm (0.500, 0.000, 0.000)
Al (0.500, 0.500, 0.500)
C (0.000, 0.000, 0.000)

## Properties
Total magnetic moment = 0.000 μB per atom
Calculated formation energy = -0.291 eV/atom


(6)
DFT (PBE) results for a relaxed MnVNi2 crystal.

Cell: 3.543 3.543 4.469 Å, 113.35 113.35 90.00°
Site moments in Bohr magnetons follow the coordinates.
Fractional coordinates of all 4 atoms:
Mn (0.500, 0.500, 0.000)  2.38
V (0.000, 0.000, 0.000)  -0.82
Ni (0.250, 0.750, 0.500)  0.33
Ni (0.750, 0.250, 0.500)  0.33

## Properties
Total magnetic moment = 0.537 μB per atom
Calculated formation energy = -0.178 eV/atom


(7)
DFT (PBE) results for a relaxed K3ZrNp3Te8 crystal.

Cell: 8.884 8.885 9.872 Å, 116.86 89.90 119.97°
Site moments in Bohr magnetons follow the coordinates.
Fractional coordinates of all 15 atoms:
K (0.000, 0.000, 0.000)  0.00
K (0.000, 0.500, 0.000)  0.00
K (0.500, 0.500, 0.000)  0.00
Zr (0.000, 0.000, 0.500)  -0.09
Np (0.500, 0.000, 0.500)  -3.95
Np (0.500, 0.500, 0.500)  3.91
Np (0.000, 0.500, 0.500)  -3.93
Te (0.262, 0.525, 0.286)  0.03
Te (0.738, 0.475, 0.714)  0.03
Te (0.774, 0.548, 0.298)  0.00
Te (0.226, 0.452, 0.702)  0.00
Te (0.773, 0.025, 0.299)  0.06
Te (0.227, 0.975, 0.701)  0.06
Te (0.250, 0.024, 0.298)  0.00
Te (0.750, 0.976, 0.702)  0.00

## Properties
Total magnetic moment = 0.269 μB per atom
Formation energy without anion corrections = -0.87 eV per atom


(8)
DFT (PBE) results for a relaxed MgTlZn2Mo crystal.

Cell: 4.920 5.336 4.920 Å, 90.00 90.00 90.00°
Site moments in Bohr magnetons follow the coordinates.
Fractional coordinates of all 5 atoms:
Mg (0.000, 0.000, 0.000)  -0.01
Zn (0.000, 0.000, 0.500)  -0.01
Zn (0.500, 0.000, 0.000)  0.00
Tl (0.000, 0.500, 0.000)  -0.03
Mo (0.500, 0.500, 0.500)  3.54

## Properties
Total magnetic moment = 0.827 μB per atom
Calculated formation energy = 1.253 eV/atom


(9)
DFT (PBE) results for a relaxed CaRuSe2 crystal.

Cell: 4.807 4.807 4.807 Å, 60.00 60.00 60.00°
Fractional coordinates of all 4 atoms:
Ru (0.250, 0.250, 0.250)
Ca (0.500, 0.500, 0.500)
Se (0.000, 0.000, 0.000)
Se (0.750, 0.750, 0.750)

## Properties
Relative energy among the computed polymorphs = 1028 meV/atom
Total magnetic moment = 0.000 μB per atom
Formation energy without anion corrections = 0.15 eV per atom


(10)
DFT (PBE) results for a relaxed TaHgBr2 crystal.

Cell: 11.678 11.678 11.678 Å, 16.38 16.38 16.38°
Fractional coordinates of all 4 atoms:
Hg (0.000, 0.000, 0.000)
Br (0.888, 0.888, 0.888)
Br (0.112, 0.112, 0.112)
Ta (0.500, 0.500, 0.500)

## Properties
Relative energy among the computed polymorphs = 0 meV/atom
Total magnetic moment = 0.000 μB per atom
Formation energy without anion corrections = -0.27 eV per atom


(11)
DFT (PBE) results for a relaxed Ba2PdAu2 crystal.

Cell: 6.304 6.304 6.039 Å, 58.54 58.54 90.00°
Fractional coordinates of all 5 atoms:
Au (0.334, 0.334, 0.332)
Au (0.666, 0.666, 0.668)
Ba (0.750, 0.250, 0.500)
Ba (0.250, 0.750, 0.500)
Pd (0.000, 0.000, 0.000)

## Properties
Relative energy among the computed polymorphs = 160 meV/atom
Total magnetic moment = 0.000 μB per atom
Calculated formation energy = -0.515 eV/atom


(12)
DFT (PBE) results for a relaxed GdDyPu2 crystal.

Cell: 5.510 5.510 5.510 Å, 60.00 60.00 60.00°
Site moments in Bohr magnetons follow the coordinates.
Fractional coordinates of all 4 atoms:
Gd (0.000, 0.000, 0.000)  7.39
Dy (0.500, 0.500, 0.500)  0.29
Pu (0.250, 0.250, 0.250)  5.57
Pu (0.750, 0.750, 0.750)  5.57

## Properties
Relative energy among the computed polymorphs = 96 meV/atom
Total magnetic moment = 5.020 μB per atom
Calculated formation energy = 0.281 eV/atom


(13)
DFT (PBE) results for a relaxed KRe crystal.

Cell: 3.845 2.967 10.686 Å, 78.90 90.00 90.00°
Fractional coordinates of all 4 atoms:
K (0.000, 0.925, 0.084)
K (0.500, 0.825, 0.666)
Re (0.000, 0.548, 0.418)
Re (0.500, 0.202, 0.332)

## Properties
Relative energy among the computed polymorphs = 15 meV/atom
Total magnetic moment = 0.000 μB per atom
Calculated formation energy = 0.845 eV/atom


(14)
DFT (PBE) results for a relaxed AcPuS2 crystal.

Cell: 4.019 4.019 7.661 Å, 74.79 74.79 60.00°
Site moments in Bohr magnetons follow the coordinates.
Fractional coordinates of all 4 atoms:
Ac (0.496, 0.496, 0.511)  -0.07
Pu (0.671, 0.671, 0.988)  5.35
S (0.074, 0.074, 0.779)  -0.07
S (0.259, 0.259, 0.222)  -0.07

## Properties
Relative energy among the computed polymorphs = 103 meV/atom
Total magnetic moment = 1.337 μB per atom
Formation energy without anion corrections = -1.76 eV per atom